Material: CaMn3Sb
Method: DFT, PBE
State: optimized geometry

a b c (Å): 4.8896 4.8896 4.8896
angles (deg): 90.00 90.00 90.00
With the nearest neighbours (Å) after each atom.
Element x y z (fractional)
Ca: 0.0000 0.0000 0.0000  6 Mn 2.44
Mn: 0.0000 0.5000 0.0000  2 Ca 2.44
Sb: 0.5000 0.5000 0.5000  12 Mn 3.46
Mn: 0.5000 0.0000 0.0000  2 Ca 2.44
Mn: 0.0000 0.0000 0.5000  2 Ca 2.44

Properties
Energy relative to the elements, uncorrected, kJ per mole of atoms: 154
E above lowest polymorph, eV per atom: 0.915
Space group: Pm-3m (221)
Energy, hartree per atom: -0.1887


Material: Cr2HgRu
Method: DFT, PBE
State: optimized geometry

a b c (Å): 4.8139 4.8139 4.8139
angles (deg): 131.62 131.62 70.83
With the nearest neighbours (Å) after each atom.
Element x y z (fractional)
Cr: 0.2500 0.7500 0.5000  4 Cr 2.78, 4 Hg 2.78, 4 Ru 2.79
Ru: 0.7500 0.2500 0.5000  4 Hg 2.78, 8 Cr 2.78-2.79
Hg: 0.5000 0.5000 0.0000  8 Cr 2.78-2.79, 4 Ru 2.78
Cr: 0.0000 0.0000 0.0000  4 Cr 2.78, 4 Ru 2.78, 4 Hg 2.79

Properties
Space group: I-4m2 (119)
Energy, hartree per atom: -0.2472
Formation enthalpy at 0 K, kJ per mole of atoms: 46.2


Material: ZnCdRu
Method: DFT, PBE
State: optimized geometry

a b c (Å): 4.2388 4.2388 4.2388
angles (deg): 60.00 60.00 60.00
With the nearest neighbours (Å) after each atom.
Element x y z (fractional)
Zn: 0.7500 0.7500 0.7500  4 Ru 2.60, 4 Cd 2.60
Ru: 0.5000 0.5000 0.5000  4 Zn 2.60
Cd: 0.0000 0.0000 0.0000  4 Zn 2.60

Properties
E above lowest polymorph, eV per atom: 0.420
Space group: F-43m (216)
Energy, hartree per atom: -0.1239
Formation enthalpy at 0 K, kJ per mole of atoms: 43.5


Material: CrCoN2
Method: DFT, PBE
State: optimized geometry

a b c (Å): 3.2043 3.2043 13.9260
angles (deg): 90.00 90.00 120.00
With the nearest neighbours (Å) after each atom.
Element x y z (fractional)
Cr: 0.3333 0.6667 0.9486  4 N 1.87-1.91
N: 0.3333 0.6667 0.3024  3 Cr 1.87, 1 Co 2.00
Co: 0.6667 0.3333 0.8258  4 N 1.86-2.00
Co: 0.3333 0.6667 0.1591  4 N 1.86-2.00
N: 0.0000 0.0000 0.1450  3 Co 1.86, 1 Cr 1.91
Cr: 0.6667 0.3333 0.6152  4 N 1.87-1.91
Cr: 0.0000 0.0000 0.2819  4 N 1.87-1.91
N: 0.6667 0.3333 0.9691  3 Cr 1.87, 1 Co 2.00
Co: 0.0000 0.0000 0.4924  4 N 1.86-2.00
N: 0.0000 0.0000 0.6357  3 Cr 1.87, 1 Co 2.00
N: 0.3333 0.6667 0.8116  3 Co 1.86, 1 Cr 1.91
N: 0.6667 0.3333 0.4783  3 Co 1.86, 1 Cr 1.91

Properties
Energy relative to the elements, uncorrected, kJ per mole of atoms: 0
E above lowest polymorph, eV per atom: 0.232
Space group: R3m (160)
Energy, hartree per atom: -0.3065


Material: AlInGa14
Method: DFT, PBE
State: optimized geometry

a b c (Å): 7.2622 8.0472 6.2966
angles (deg): 90.00 90.00 123.65
With the nearest neighbours (Å) after each atom.
Element x y z (fractional)
Ga: 0.8691 0.2581 0.7557  1 Al 2.90, 10 Ga 2.92-3.22, 1 In 3.05
Ga: 0.1198 0.1234 0.0000  10 Ga 2.93-3.03, 2 In 3.15
Al: 0.6302 0.3780 0.5000  11 Ga 2.90-3.15, 1 In 3.08
Ga: 0.8691 0.2581 0.2443  1 Al 2.90, 10 Ga 2.92-3.22, 1 In 3.05
Ga: 0.6178 0.8714 0.5000  11 Ga 2.90-3.15, 1 In 3.04
Ga: 0.1313 0.6269 0.0000  12 Ga 2.92-3.15
Ga: 0.3826 0.9984 0.2463  10 Ga 2.91-3.19, 1 Al 3.00, 1 In 3.05
Ga: 0.6100 0.3674 0.0000  10 Ga 2.92-3.15, 2 Al 3.15
Ga: 0.1239 0.6243 0.5000  11 Ga 2.94-3.15, 1 Al 2.98
Ga: 0.3826 0.9984 0.7537  10 Ga 2.91-3.19, 1 Al 3.00, 1 In 3.05
In: 0.1201 0.1226 0.5000  11 Ga 3.04-3.15, 1 Al 3.08
Ga: 0.8705 0.7367 0.7568  1 Al 2.90, 10 Ga 2.92-3.23, 1 In 3.05
Ga: 0.6352 0.8801 0.0000  12 Ga 2.93-3.15
Ga: 0.8705 0.7367 0.2432  1 Al 2.90, 10 Ga 2.92-3.23, 1 In 3.05
Ga: 0.3837 0.5098 0.2470  10 Ga 2.90-3.19, 1 Al 2.99, 1 In 3.05
Ga: 0.3837 0.5098 0.7530  10 Ga 2.90-3.19, 1 Al 2.99, 1 In 3.05

Properties
Space group: Pm (6)
Energy, hartree per atom: -0.1113
Formation enthalpy at 0 K, kJ per mole of atoms: 2.5


Material: Li2ZrCo
Method: DFT, PBE
State: optimized geometry

a b c (Å): 5.4405 5.4405 2.6753
angles (deg): 90.00 90.00 125.41
With the nearest neighbours (Å) after each atom.
Element x y z (fractional)
Li: 0.5000 0.5000 0.0000  4 Li 2.49-2.68
Co: 0.0000 0.5000 0.5000  2 Zr 2.49, 2 Co 2.68
Li: 0.0000 0.0000 0.0000  4 Li 2.49-2.68
Zr: 0.5000 0.0000 0.5000  2 Co 2.49, 2 Zr 2.68

Properties
E above lowest polymorph, eV per atom: 0.266
Space group: Cmmm (65)
Energy, hartree per atom: -0.1671
Formation enthalpy at 0 K, kJ per mole of atoms: 31.3


Material: ZrSi2SI
Method: DFT, PBE
State: optimized geometry

a b c (Å): 4.6256 5.1172 4.6256
angles (deg): 90.00 90.00 90.00
With the nearest neighbours (Å) after each atom.
Element x y z (fractional)
Zr: 0.5000 0.5000 0.5000  4 I 3.27, 8 Si 3.45
Si: 0.5000 0.0000 0.0000  2 S 2.31
I: 0.0000 0.5000 0.0000  2 S 2.56
Si: 0.0000 0.0000 0.5000  2 S 2.31
S: 0.0000 0.0000 0.0000  4 Si 2.31, 2 I 2.56

Properties
Energy relative to the elements, uncorrected, kJ per mole of atoms: 76
Space group: P4/mmm (123)
Energy, hartree per atom: -0.1554


Material: TaMoW2
Method: DFT, PBE
State: optimized geometry

a b c (Å): 2.7799 2.7799 9.0746
angles (deg): 90.00 90.00 109.95
With the nearest neighbours (Å) after each atom.
Element x y z (fractional)
W: 0.0000 0.0000 0.4945  2 Mo 2.73, 4 W 2.78, 2 Ta 2.81
Ta: 0.5000 0.5000 0.7500  4 Ta 2.78, 4 W 2.81
W: 0.0000 0.0000 0.0055  2 Mo 2.73, 4 W 2.78, 2 Ta 2.81
Mo: 0.5000 0.5000 0.2500  4 W 2.73, 4 Mo 2.78

Properties
E above lowest polymorph, eV per atom: 0.057
Space group: Cmmm (65)
Energy, hartree per atom: -0.4491
Formation enthalpy at 0 K, kJ per mole of atoms: -7.2


Repeat the first record exactly.
Material: CaMn3Sb
Method: DFT, PBE
State: optimized geometry

a b c (Å): 4.8896 4.8896 4.8896
angles (deg): 90.00 90.00 90.00
With the nearest neighbours (Å) after each atom.
Element x y z (fractional)
Ca: 0.0000 0.0000 0.0000  6 Mn 2.44
Mn: 0.0000 0.5000 0.0000  2 Ca 2.44
Sb: 0.5000 0.5000 0.5000  12 Mn 3.46
Mn: 0.5000 0.0000 0.0000  2 Ca 2.44
Mn: 0.0000 0.0000 0.5000  2 Ca 2.44

Properties
Energy relative to the elements, uncorrected, kJ per mole of atoms: 154
E above lowest polymorph, eV per atom: 0.915
Space group: Pm-3m (221)
Energy, hartree per atom: -0.1887